A plane-wave DFT calculation with PBE was carried out for a relaxed Ce6HfSn10 crystal.

Results
ΔE_f in meV/atom: -509
Size of the total moment in μB per cell: 2.32

The structure in CIF format:
```
data_Ce6HfSn10
_chemical_formula_sum 'Ce6 Hf1 Sn10'
_cell_length_a 9.2824
_cell_length_b 9.2824
_cell_length_c 6.2413
_cell_angle_alpha 90.00
_cell_angle_beta 90.00
_cell_angle_gamma 120.00
_space_group_name_H-M_alt 'P -3 1 m'
_space_group_IT_number 162
_space_group_name_Hall '-P 3 2'
loop_
_atom_site_label
_atom_site_fract_x
_atom_site_fract_y
_atom_site_fract_z
Ce1 0.0000 0.3883 0.2603
Hf1 0.0000 0.0000 0.5000
Sn1 0.0000 0.2470 0.7900
Sn2 0.3333 0.6667 0.0000
Sn3 0.3333 0.6667 0.5000
```